[1]
# LaSc2Se

A PBEsol-optimized structure of LaSc2Se (SCAN, Alexandria).

abc: 4.305 4.305 5.902
angles: 111.39 111.39 90.00
Fractional coordinates of all 4 atoms:
La: 0.000 0.000 0.000
Sc: 0.750 0.250 0.500
Sc: 0.250 0.750 0.500
Se: 0.500 0.500 0.000

Values from the calculation:
- Raw formation energy: -454 meV per atom
- D(E_F): 4.58 states/eV per cell

[2]
# La3RuO7

A PBEsol-optimized structure of La3RuO7 (SCAN, Alexandria).

abc: 5.665 8.763 12.467
angles: 104.52 90.00 90.00
Each line ends with the local moment (μB).
Fractional coordinates of all 44 atoms:
La: 0.520 0.296 0.927  0.01
La: 0.990 0.569 0.867  0.02
La: 0.490 0.431 0.633  0.02
La: 0.480 0.704 0.073  0.01
La: 0.980 0.296 0.427  0.01
La: 0.514 0.997 0.640  0.01
La: 0.014 0.003 0.860  0.01
La: 0.510 0.569 0.367  0.02
La: 0.020 0.704 0.573  0.01
La: 0.986 0.997 0.140  0.01
La: 0.010 0.431 0.133  0.02
La: 0.486 0.003 0.360  0.01
Ru: 0.046 0.215 0.667  1.95
Ru: 0.954 0.785 0.333  1.95
Ru: 0.454 0.215 0.167  1.95
Ru: 0.546 0.785 0.833  1.95
O: 0.263 0.170 0.533  0.09
O: 0.758 0.190 0.575  0.14
O: 0.349 0.240 0.746  0.08
O: 0.549 0.564 0.826  0.19
O: 0.934 0.009 0.331  0.11
O: 0.118 0.747 0.193  0.17
O: 0.882 0.253 0.807  0.17
O: 0.618 0.253 0.307  0.17
O: 0.451 0.436 0.174  0.19
O: 0.258 0.810 0.925  0.14
O: 0.651 0.760 0.254  0.08
O: 0.566 0.009 0.831  0.11
O: 0.151 0.240 0.246  0.08
O: 0.066 0.991 0.669  0.11
O: 0.742 0.190 0.075  0.14
O: 0.737 0.830 0.467  0.09
O: 0.763 0.830 0.967  0.09
O: 0.261 0.492 0.489  0.02
O: 0.761 0.508 0.011  0.02
O: 0.951 0.564 0.326  0.19
O: 0.434 0.991 0.169  0.11
O: 0.237 0.170 0.033  0.09
O: 0.382 0.747 0.693  0.17
O: 0.739 0.508 0.511  0.02
O: 0.049 0.436 0.674  0.19
O: 0.242 0.810 0.425  0.14
O: 0.849 0.760 0.754  0.08
O: 0.239 0.492 0.989  0.02

Values from the calculation:
- Raw formation energy: -3020 meV per atom
- Energy above the most stable polymorph in this dataset: 5 meV/atom

[3]
# RbHg2Pd2

A PBEsol-optimized structure of RbHg2Pd2 (SCAN, Alexandria).

abc: 4.343 4.343 6.893
angles: 108.36 108.36 90.00
Fractional coordinates of all 5 atoms:
Rb: 0.000 0.000 0.000
Hg: 0.384 0.384 0.768
Hg: 0.616 0.616 0.232
Pd: 0.250 0.750 0.500
Pd: 0.750 0.250 0.500

Values from the calculation:
- D(E_F): 1.25 states/eV per cell
- Energy above the most stable polymorph in this dataset: 31 meV/atom

[4]
# Sc3BiPb

A PBEsol-optimized structure of Sc3BiPb (SCAN, Alexandria).

abc: 5.349 5.349 5.349
angles: 90.00 90.00 90.00
Fractional coordinates of all 5 atoms:
Pb: 0.500 0.500 0.500
Sc: 0.000 0.500 0.000
Sc: 0.000 0.000 0.500
Sc: 0.500 0.000 0.000
Bi: 0.000 0.000 0.000

Values from the calculation:
- D(E_F): 4.64 states/eV per cell

no.,DFT total energy (eV per atom)
1,-23.368
2,-21.907
3,-44.674
4,-39.307